A plane-wave DFT calculation with GGA-PBE was carried out for a geometry-optimized BaZrZn structure.

Cell and atoms, written as extended XYZ:
```
12
Lattice="9.529 0.000 0.000 0.000 4.239 0.000 0.000 0.000 9.575" Properties=species:S:1:pos:R:3 pbc="T T T"
Ba 1.640 1.060 0.576
Ba 3.124 3.179 5.363
Ba 6.405 1.060 4.212
Ba 7.889 3.179 8.999
Zr 0.552 1.060 3.912
Zr 4.213 3.179 8.700
Zr 5.317 1.060 0.875
Zr 8.977 3.179 5.662
Zn 0.838 1.060 6.830
Zn 3.927 3.179 2.043
Zn 5.603 1.060 7.532
Zn 8.691 3.179 2.745
```

Properties
energy of formation: 0.30 eV per atom
magnetic moment: 1.485 Bohr magnetons per cell
symmetry: Pnma (62)
uncorrected energy: -0.1329 hartree per atom